(1)
A geometry-optimized TlBr2Cl structure. Source: Alexandria via LeMat-Bulk, functional PBE-GGA.

The space group is Cmmm (No. 65) and the conventional cell measures 4.288, 8.111 and 8.073 Å, with angles of 90.00, 90.00 and 90.00 degrees. The inequivalent atoms are Tl at (0.000, 0.000, 0.000), Br at (0.000, 0.500, 0.243) and Cl at (0.000, 0.000, 0.500).

The calculation puts the formation energy (no corrections) at -15 kJ/mol of atoms. The final energy is -16.32 eV per cell.

(2)
A geometry-optimized HoInGa2S6 structure. Source: Alexandria via LeMat-Bulk, functional PBE-GGA.

The space group is C2/c (No. 15) and the conventional cell measures 12.337, 11.667 and 6.587 Å, with angles of 90.00, 101.86 and 90.00 degrees. The inequivalent atoms are Ho at (0.000, 0.098, 0.250), In at (0.000, 0.282, 0.750), Ga at (0.189, 0.414, 0.287), S at (0.117, 0.091, 0.646), S at (0.127, 0.253, 0.105) and S at (0.140, 0.419, 0.609).

The calculation puts the formation energy (no corrections) at -91 kJ/mol of atoms. The final energy is -190.15 eV per cell.

(3)
A geometry-optimized H2IrS structure. Source: Alexandria via LeMat-Bulk, functional PBE-GGA.

The space group is Fm-3m (No. 225) and the conventional cell measures 5.233, 5.233 and 5.233 Å, with angles of 90.00, 90.00 and 90.00 degrees. The inequivalent atoms are H at (0.250, 0.250, 0.250), Ir at (0.000, 0.000, 0.000) and S at (0.000, 0.000, 0.500).

The final energy is -62.78 eV per cell.

(4)
A geometry-optimized TaGa2Pd structure. Source: Alexandria via LeMat-Bulk, functional PBE-GGA.

The space group is P4/mmm (No. 123) and the conventional cell measures 4.098, 4.098 and 3.772 Å, with angles of 90.00, 90.00 and 90.00 degrees. The inequivalent atoms are Ta at (0.000, 0.000, 0.000), Ga at (0.000, 0.500, 0.500) and Pd at (0.500, 0.500, 0.000).

For the formation energy, the calculation gives -1.24 eV per formula unit. The final energy is -24.34 eV per cell.

(5)
A geometry-optimized Sn12Bi5Pb3 structure. Source: Alexandria via LeMat-Bulk, functional PBE-GGA.

The space group is Ia-3d (No. 230) and the conventional cell measures 18.241, 18.241 and 18.241 Å, with angles of 90.00, 90.00 and 90.00 degrees. The inequivalent atoms are Sn at (0.005, 0.074, 0.656), Bi at (0.000, 0.000, 0.000), Bi at (0.000, 0.250, 0.375) and Pb at (0.000, 0.250, 0.125).

For the formation energy, the calculation gives 4.18 eV per formula unit. The final energy is -595.11 eV per cell.

(6)
A geometry-optimized CaAlP2O structure. Source: Alexandria via LeMat-Bulk, functional PBE-GGA.

The space group is P4/mmm (No. 123) and the conventional cell measures 5.177, 5.177 and 3.402 Å, with angles of 90.00, 90.00 and 90.00 degrees. The inequivalent atoms are Ca at (0.000, 0.000, 0.000), Al at (0.500, 0.500, 0.500), P at (0.000, 0.500, 0.500) and O at (0.500, 0.500, 0.000).

The calculation puts the formation energy (no corrections) at -74 kJ/mol of atoms. The final energy is -25.33 eV per cell.

(7)
A geometry-optimized Tb3Te2S2 structure. Source: Alexandria via LeMat-Bulk, functional PBE-GGA.

The space group is C2/m (No. 12) and the conventional cell measures 16.508, 4.009 and 6.285 Å, with angles of 90.00, 93.10 and 90.00 degrees. The inequivalent atoms are Tb at (0.000, 0.000, 0.000), Tb at (0.181, 0.000, 0.738), Te at (0.175, 0.000, 0.244) and S at (0.071, 0.500, 0.772).

The calculation puts the formation energy (no corrections) at -160 kJ/mol of atoms. The final energy is -80.03 eV per cell.

(8)
A geometry-optimized Ce2GaNi3 structure. Source: Alexandria via LeMat-Bulk, functional PBE-GGA.

The space group is Fmmm (No. 69) and the conventional cell measures 7.028, 8.509 and 14.689 Å, with angles of 90.00, 90.00 and 90.00 degrees. The inequivalent atoms are Ce at (0.241, 0.000, 0.000), Ce at (0.250, 0.250, 0.250), Ga at (0.000, 0.000, 0.334), Ni at (0.000, 0.000, 0.168) and Ni at (0.000, 0.247, 0.416).

For the formation energy, the calculation gives -2.38 eV per formula unit. The final energy is -276.99 eV per cell.

Number 1: calculated volume 35.09 Å³ per atom. Number 2: calculated volume 23.20 Å³ per atom. Number 3: calculated volume 8.96 Å³ per atom. Number 4: calculated volume 15.83 Å³ per atom. Number 5: calculated volume 37.93 Å³ per atom. Number 6: calculated volume 18.23 Å³ per atom. Number 7: calculated volume 29.67 Å³ per atom. Number 8: calculated volume 18.30 Å³ per atom.